No. 1
Ba2Zn3Ag4Pb, optimized geometry, DFT PBE-GGA; calculated total energy = -2.476 eV/atom; total magnetic moment = 0.00 μB per cell
1.0
4.718 0.000 0.000
0.000 4.718 0.000
0.000 0.000 11.386
Ba Zn Ag Pb
2 3 4 1
Direct
0.000 0.500 0.241 Ba
0.500 0.000 0.759 Ba
0.000 0.500 0.884 Zn
0.500 0.000 0.116 Zn
0.500 0.500 0.500 Zn
0.000 0.000 0.000 Ag
0.000 0.500 0.649 Ag
0.500 0.000 0.351 Ag
0.500 0.500 0.000 Ag
0.000 0.000 0.500 Pb



No. 2
BaAg2Pd, optimized geometry, DFT PBE-GGA; offset from the most stable computed form = 0.000 eV/f.u.; total magnetic moment = 0.00 μB per cell
1.0
16.838 0.000 0.000
0.000 7.925 0.000
0.000 0.000 6.028
Ba Ag Pd
8 16 8
Direct
0.108 0.250 0.246 Ba
0.139 0.750 0.034 Ba
0.361 0.250 0.534 Ba
0.392 0.750 0.746 Ba
0.608 0.250 0.254 Ba
0.639 0.750 0.466 Ba
0.861 0.250 0.966 Ba
0.892 0.750 0.754 Ba
0.046 0.065 0.716 Ag
0.046 0.435 0.716 Ag
0.210 0.558 0.554 Ag
0.210 0.942 0.554 Ag
0.290 0.058 0.054 Ag
0.290 0.442 0.054 Ag
0.454 0.565 0.216 Ag
0.454 0.935 0.216 Ag
0.546 0.065 0.784 Ag
0.546 0.435 0.784 Ag
0.710 0.558 0.946 Ag
0.710 0.942 0.946 Ag
0.790 0.058 0.446 Ag
0.790 0.442 0.446 Ag
0.954 0.565 0.284 Ag
0.954 0.935 0.284 Ag
0.069 0.750 0.517 Pd
0.189 0.250 0.781 Pd
0.311 0.750 0.281 Pd
0.431 0.250 0.017 Pd
0.569 0.750 0.983 Pd
0.689 0.250 0.719 Pd
0.811 0.750 0.219 Pd
0.931 0.250 0.483 Pd



No. 3
BaAg3Pd, optimized geometry, DFT PBE-GGA; offset from the most stable computed form = 7.673 eV/f.u.; total magnetic moment = 0.00 μB per cell
1.0
6.026 0.000 0.000
0.000 6.026 0.000
0.000 0.000 6.026
Ba Ag Pd
1 3 1
Direct
0.000 0.000 0.000 Ba
0.000 0.000 0.500 Ag
0.000 0.500 0.000 Ag
0.500 0.000 0.000 Ag
0.500 0.500 0.500 Pd



No. 4
Ba2AgPd, optimized geometry, DFT PBE-GGA; offset from the most stable computed form = 0.000 eV/f.u.; total magnetic moment = 0.00 μB per cell
1.0
6.610 0.000 0.000
0.000 4.861 0.000
-3.219 0.000 8.543
Ba Ag Pd
4 2 2
Direct
0.221 0.250 0.436 Ba
0.231 0.250 0.925 Ba
0.769 0.750 0.075 Ba
0.779 0.750 0.564 Ba
0.359 0.750 0.216 Ag
0.641 0.250 0.784 Ag
0.368 0.750 0.716 Pd
0.632 0.250 0.284 Pd



No. 5
Ba5Ag2Pd, optimized geometry, DFT PBE-GGA; calculated total energy = -2.844 eV/atom; total magnetic moment = 0.00 μB per cell
1.0
9.893 -3.970 0.000
9.893 3.970 0.000
-1.147 0.000 8.845
Ba Ag Pd
10 4 2
Direct
0.078 0.922 0.750 Ba
0.136 0.292 0.307 Ba
0.292 0.136 0.807 Ba
0.293 0.512 0.078 Ba
0.488 0.707 0.422 Ba
0.512 0.293 0.578 Ba
0.707 0.488 0.922 Ba
0.708 0.864 0.193 Ba
0.864 0.708 0.693 Ba
0.922 0.078 0.250 Ba
0.102 0.696 0.427 Ag
0.304 0.898 0.073 Ag
0.696 0.102 0.927 Ag
0.898 0.304 0.573 Ag
0.000 0.500 0.000 Pd
0.500 0.000 0.500 Pd



No. 6
Ba6Ag2Pd, optimized geometry, DFT PBE-GGA; calculated total energy = -2.754 eV/atom; total magnetic moment = 0.00 μB per cell
1.0
7.925 0.000 0.000
0.000 8.890 0.000
-7.566 0.000 11.843
Ba Ag Pd
12 4 2
Direct
0.098 0.041 0.247 Ba
0.098 0.459 0.747 Ba
0.233 0.687 0.070 Ba
0.233 0.813 0.570 Ba
0.392 0.174 0.065 Ba
0.392 0.326 0.565 Ba
0.608 0.674 0.435 Ba
0.608 0.826 0.935 Ba
0.767 0.187 0.430 Ba
0.767 0.313 0.930 Ba
0.902 0.541 0.253 Ba
0.902 0.959 0.753 Ba
0.312 0.115 0.756 Ag
0.312 0.385 0.256 Ag
0.688 0.615 0.744 Ag
0.688 0.885 0.244 Ag
0.000 0.000 0.000 Pd
0.000 0.500 0.500 Pd



No. 7
BaAg2Pd3, optimized geometry, DFT PBE-GGA; calculated total energy = -4.198 eV/atom; total magnetic moment = 0.00 μB per cell
1.0
5.718 0.000 0.000
-2.859 4.952 0.000
0.000 0.000 4.486
Ba Ag Pd
1 2 3
Direct
0.000 0.000 0.000 Ba
0.333 0.667 0.000 Ag
0.667 0.333 0.000 Ag
0.000 0.500 0.500 Pd
0.500 0.000 0.500 Pd
0.500 0.500 0.500 Pd



No. 8
Ba9Ag2Pd4, optimized geometry, DFT PBE-GGA; calculated total energy = -3.269 eV/atom; total magnetic moment = 0.00 μB per cell
1.0
8.066 0.000 0.000
-4.033 6.985 0.000
0.000 0.000 23.020
Ba Ag Pd
18 4 8
Direct
0.000 0.350 0.250 Ba
0.000 0.650 0.750 Ba
0.013 0.355 0.581 Ba
0.013 0.659 0.081 Ba
0.341 0.355 0.081 Ba
0.341 0.987 0.581 Ba
0.350 0.000 0.250 Ba
0.350 0.350 0.750 Ba
0.355 0.013 0.919 Ba
0.355 0.341 0.419 Ba
0.645 0.659 0.581 Ba
0.645 0.987 0.081 Ba
0.650 0.000 0.750 Ba
0.650 0.650 0.250 Ba
0.659 0.013 0.419 Ba
0.659 0.645 0.919 Ba
0.987 0.341 0.919 Ba
0.987 0.645 0.419 Ba
0.000 0.000 0.169 Ag
0.000 0.000 0.331 Ag
0.000 0.000 0.669 Ag
0.000 0.000 0.831 Ag
0.333 0.667 0.169 Pd
0.333 0.667 0.495 Pd
0.333 0.667 0.669 Pd
0.333 0.667 0.995 Pd
0.667 0.333 0.005 Pd
0.667 0.333 0.331 Pd
0.667 0.333 0.505 Pd
0.667 0.333 0.831 Pd



No. 9
Ba7Ag4Pd, optimized geometry, DFT PBE-GGA; calculated total energy = -2.742 eV/atom; total magnetic moment = 0.00 μB per cell
1.0
7.909 -2.356 0.000
7.909 2.356 0.000
-3.794 0.000 13.911
Ba Ag Pd
7 4 1
Direct
0.000 0.000 0.000 Ba
0.219 0.219 0.853 Ba
0.284 0.284 0.410 Ba
0.525 0.525 0.276 Ba
0.599 0.599 0.586 Ba
0.746 0.746 0.140 Ba
0.908 0.908 0.682 Ba
0.253 0.253 0.633 Ag
0.372 0.372 0.065 Ag
0.554 0.554 0.829 Ag
0.953 0.953 0.441 Ag
0.138 0.138 0.208 Pd



No. 10
BaAg2Pd2, optimized geometry, DFT PBE-GGA; offset from the most stable computed form = 0.554 eV/f.u.; total magnetic moment = 0.00 μB per cell
1.0
8.136 0.000 0.000
0.000 8.136 0.000
0.000 0.000 3.227
Ba Ag Pd
2 4 4
Direct
0.000 0.000 0.000 Ba
0.500 0.500 0.000 Ba
0.122 0.378 0.000 Ag
0.378 0.878 0.000 Ag
0.622 0.122 0.000 Ag
0.878 0.622 0.000 Ag
0.171 0.671 0.500 Pd
0.329 0.171 0.500 Pd
0.671 0.829 0.500 Pd
0.829 0.329 0.500 Pd



No. 11
Ba2AgPd, optimized geometry, DFT PBE-GGA; offset from the most stable computed form = 0.339 eV/f.u.; total magnetic moment = 0.00 μB per cell
1.0
2.343 1.353 7.987
-2.343 1.353 7.987
0.000 -2.705 7.987
Ba Ag Pd
2 1 1
Direct
0.241 0.241 0.241 Ba
0.759 0.759 0.759 Ba
0.000 0.000 0.000 Ag
0.500 0.500 0.500 Pd



No. 12
BaAgPd, optimized geometry, DFT PBE-GGA; offset from the most stable computed form = 0.000 eV/f.u.; total magnetic moment = 0.00 μB per cell
1.0
4.744 0.000 0.000
-2.372 4.109 0.000
0.000 0.000 4.406
Ba Ag Pd
1 1 1
Direct
0.000 0.000 0.000 Ba
0.667 0.333 0.500 Ag
0.333 0.667 0.500 Pd